La4Ho5Sc | GGA-PBE | optimized geometry

Cell: 8.700 8.700 11.286 Å, 92.16 92.16 23.31°
Fractional coordinates of all 10 atoms:
La: 0.027 0.027 0.242
La: 0.331 0.331 0.254
La: 0.669 0.669 0.746
La: 0.973 0.973 0.758
Ho: 0.168 0.168 0.041
Ho: 0.172 0.172 0.446
Ho: 0.500 0.500 0.500
Ho: 0.828 0.828 0.554
Ho: 0.832 0.832 0.959
Sc: 0.500 0.500 0.000

Its total magnetic moment is 0.00 μB/atom. Its volume is 337.8 Å³/cell. Its formation energy is 18.5 kJ per mole of atoms. The value obtained for the energy above the lowest structure with this stoichiometry is 0.00 kJ/mol of atoms. The crystal system is monoclinic. For the total energy, the calculation gives -4.702 eV/atom.

***

CsY2AgPd | GGA-PBE | optimized geometry

Cell: 5.421 5.421 6.616 Å, 90.00 90.00 90.00°
Fractional coordinates of all 5 atoms:
Cs: 0.000 0.000 0.000
Y: 0.000 0.500 0.500
Y: 0.500 0.000 0.500
Ag: 0.500 0.500 0.000
Pd: 0.000 0.000 0.500

Its total magnetic moment is 0.00 μB/atom. Its volume is 194.4 Å³/cell. Its formation energy is 24.8 kJ per mole of atoms. The crystal system is tetragonal. For the total energy, the calculation gives -4.108 eV/atom.

***

Pm3Dy3Sc2 | GGA-PBE | optimized geometry

Cell: 4.971 5.002 9.846 Å, 90.00 90.00 90.00°
Fractional coordinates of all 8 atoms:
Pm: 0.000 0.000 0.000
Pm: 0.000 0.000 0.500
Pm: 0.500 0.500 0.000
Dy: 0.000 0.500 0.252
Dy: 0.000 0.500 0.748
Dy: 0.500 0.500 0.500
Sc: 0.500 0.000 0.252
Sc: 0.500 0.000 0.748

Its total magnetic moment is 0.00 μB/atom. Its volume is 244.8 Å³/cell. Its formation energy is 3.9 kJ per mole of atoms. The value obtained for the energy above the lowest structure with this stoichiometry is 0.00 kJ/mol of atoms. The crystal system is orthorhombic. For the total energy, the calculation gives -5.049 eV/atom.

***

LiMg5Zn2 | GGA-PBE | optimized geometry

Cell: 5.413 5.413 14.300 Å, 90.00 90.00 130.95°
Fractional coordinates of all 16 atoms:
Li: 0.232 0.768 0.750
Li: 0.768 0.232 0.250
Mg: 0.049 0.951 0.602
Mg: 0.049 0.951 0.898
Mg: 0.350 0.650 0.542
Mg: 0.350 0.650 0.958
Mg: 0.492 0.508 0.250
Mg: 0.508 0.492 0.750
Mg: 0.650 0.350 0.042
Mg: 0.650 0.350 0.458
Mg: 0.951 0.049 0.102
Mg: 0.951 0.049 0.398
Zn: 0.237 0.763 0.153
Zn: 0.237 0.763 0.347
Zn: 0.763 0.237 0.653
Zn: 0.763 0.237 0.847

Its total magnetic moment is 0.00 μB/atom. Its volume is 316.4 Å³/cell. Its formation energy is -3.3 kJ per mole of atoms. The value obtained for the energy above the lowest structure with this stoichiometry is 0.00 kJ/mol of atoms. The crystal system is orthorhombic. For the total energy, the calculation gives -1.588 eV/atom.

***

SrAg2Ir | GGA-PBE | optimized geometry

Cell: 3.067 5.013 5.511 Å, 90.00 99.71 90.00°
Fractional coordinates of all 4 atoms:
Sr: 0.000 0.000 0.000
Ag: 0.329 0.500 0.720
Ag: 0.671 0.500 0.280
Ir: 0.500 0.000 0.500

Its total magnetic moment is 0.07 μB/atom. Its volume is 83.5 Å³/cell. Its formation energy is 24.1 kJ per mole of atoms. The value obtained for the energy above the lowest structure with this stoichiometry is 17.77 kJ/mol of atoms. The crystal system is monoclinic. For the total energy, the calculation gives -3.812 eV/atom.

***

Y8SnGe3Te4 | GGA-PBE | optimized geometry

Cell: 8.685 8.685 8.685 Å, 59.20 59.20 59.20°
Fractional coordinates of all 16 atoms:
Y: 0.233 0.746 0.746
Y: 0.240 0.240 0.240
Y: 0.254 0.254 0.767
Y: 0.254 0.767 0.254
Y: 0.746 0.233 0.746
Y: 0.746 0.746 0.233
Y: 0.760 0.760 0.760
Y: 0.767 0.254 0.254
Sn: 0.500 0.500 0.500
Ge: 0.000 0.000 0.500
Ge: 0.000 0.500 0.000
Ge: 0.500 0.000 0.000
Te: 0.000 0.000 0.000
Te: 0.000 0.500 0.500
Te: 0.500 0.000 0.500
Te: 0.500 0.500 0.000

Its total magnetic moment is 0.00 μB/atom. Its volume is 454.9 Å³/cell. For the energy relative to the elements, uncorrected, the calculation gives -27.03 kcal/mol of atoms. The crystal system is trigonal. For the total energy, the calculation gives -6.306 eV/atom.

***

LaTaFeC3 | GGA-PBE | optimized geometry

Cell: 7.237 3.315 7.486 Å, 90.00 106.31 90.00°
Fractional coordinates of all 12 atoms:
La: 0.198 0.250 0.214
La: 0.802 0.750 0.786
Ta: 0.348 0.750 0.857
Ta: 0.652 0.250 0.143
Fe: 0.090 0.250 0.607
Fe: 0.910 0.750 0.393
C: 0.129 0.250 0.857
C: 0.171 0.750 0.538
C: 0.450 0.750 0.152
C: 0.550 0.250 0.848
C: 0.829 0.250 0.462
C: 0.871 0.750 0.143

Its total magnetic moment is 0.00 μB/atom. Its volume is 172.3 Å³/cell. Its formation energy is -3.3 kJ per mole of atoms. The crystal system is monoclinic. For the total energy, the calculation gives -8.853 eV/atom.

***

MgAlGePt2 | GGA-PBE | optimized geometry

Cell: 4.671 4.671 4.719 Å, 90.00 90.00 90.00°
Fractional coordinates of all 5 atoms:
Mg: 0.000 0.000 0.000
Al: 0.500 0.500 0.500
Ge: 0.500 0.500 0.000
Pt: 0.000 0.500 0.500
Pt: 0.500 0.000 0.500

Its total magnetic moment is 0.00 μB/atom. Its volume is 103.0 Å³/cell. Its formation energy is 12.8 kJ per mole of atoms. The crystal system is tetragonal. For the total energy, the calculation gives -4.275 eV/atom.

***

InPb2 | GGA-PBE | optimized geometry

Cell: 7.384 7.384 7.384 Å, 90.00 90.00 90.00°
Fractional coordinates of all 12 atoms:
In: 0.000 0.000 0.000
In: 0.000 0.500 0.500
In: 0.500 0.000 0.500
In: 0.500 0.500 0.000
Pb: 0.127 0.627 0.873
Pb: 0.127 0.873 0.373
Pb: 0.373 0.127 0.873
Pb: 0.373 0.373 0.373
Pb: 0.627 0.627 0.627
Pb: 0.627 0.873 0.127
Pb: 0.873 0.127 0.627
Pb: 0.873 0.373 0.127

Its total magnetic moment is 0.00 μB/atom. Its volume is 402.6 Å³/cell. Its formation energy is 21.7 kJ per mole of atoms. The crystal system is cubic. For the total energy, the calculation gives -3.161 eV/atom.

***

Mn5C7 | GGA-PBE | optimized geometry

Cell: 5.228 5.228 5.228 Å, 104.20 104.20 120.62°
Fractional coordinates of all 12 atoms:
Mn: 0.000 0.000 0.000
Mn: 0.335 0.335 0.601
Mn: 0.335 0.733 0.000
Mn: 0.733 0.335 0.000
Mn: 0.733 0.733 0.399
C: 0.147 0.853 0.294
C: 0.369 0.369 0.000
C: 0.396 0.896 0.500
C: 0.559 0.853 0.706
C: 0.853 0.147 0.294
C: 0.853 0.559 0.706
C: 0.896 0.396 0.500

Its total magnetic moment is 0.90 μB/atom. Its volume is 106.8 Å³/cell. Its formation energy is 53.5 kJ per mole of atoms. The crystal system is tetragonal. For the total energy, the calculation gives -8.647 eV/atom.

***

InTcTe2 | GGA-PBE | optimized geometry

Cell: 3.251 3.251 9.268 Å, 90.00 90.00 90.00°
Fractional coordinates of all 4 atoms:
In: 0.000 0.000 0.000
Tc: 0.000 0.000 0.500
Te: 0.500 0.500 0.319
Te: 0.500 0.500 0.681

Its total magnetic moment is 0.00 μB/atom. Its volume is 97.9 Å³/cell. For the energy relative to the elements, uncorrected, the calculation gives 1.85 kcal/mol of atoms. The crystal system is tetragonal. For the total energy, the calculation gives -4.767 eV/atom.

***

ThPaCo5Si2 | GGA-PBE | optimized geometry

Cell: 3.989 3.989 8.376 Å, 90.00 90.00 90.00°
Fractional coordinates of all 9 atoms:
Th: 0.000 0.000 0.000
Pa: 0.000 0.000 0.500
Co: 0.000 0.500 0.235
Co: 0.000 0.500 0.765
Co: 0.500 0.000 0.235
Co: 0.500 0.000 0.765
Co: 0.500 0.500 0.000
Si: 0.500 0.500 0.353
Si: 0.500 0.500 0.647

Its total magnetic moment is 0.00 μB/atom. Its volume is 133.3 Å³/cell. For the energy relative to the elements, uncorrected, the calculation gives -10.78 kcal/mol of atoms. The crystal system is tetragonal. For the total energy, the calculation gives -7.500 eV/atom.

***

TlSbRuI2 | GGA-PBE | optimized geometry

Cell: 5.729 5.729 4.994 Å, 90.00 90.00 90.00°
Fractional coordinates of all 5 atoms:
Tl: 0.000 0.000 0.000
Sb: 0.500 0.500 0.000
Ru: 0.500 0.500 0.500
I: 0.000 0.500 0.500
I: 0.500 0.000 0.500

Its total magnetic moment is 0.00 μB/atom. Its volume is 163.9 Å³/cell. For the energy relative to the elements, uncorrected, the calculation gives 3.36 kcal/mol of atoms. The value obtained for the energy above the lowest structure with this stoichiometry is 0.00 kJ/mol of atoms. The crystal system is tetragonal. For the total energy, the calculation gives -3.627 eV/atom.

***

Tb2AuCl | GGA-PBE | optimized geometry

Cell: 8.468 8.468 8.468 Å, 30.45 30.45 30.45°
Fractional coordinates of all 4 atoms:
Tb: 0.110 0.110 0.110
Tb: 0.890 0.890 0.890
Au: 0.500 0.500 0.500
Cl: 0.000 0.000 0.000

Its total magnetic moment is 0.00 μB/atom. Its volume is 138.2 Å³/cell. For the energy relative to the elements, uncorrected, the calculation gives -23.43 kcal/mol of atoms. The value obtained for the energy above the lowest structure with this stoichiometry is 0.00 kJ/mol of atoms. The crystal system is trigonal. For the total energy, the calculation gives -4.612 eV/atom.

***

Nd2SmZn2 | GGA-PBE | optimized geometry

Cell: 4.639 4.437 13.529 Å, 90.00 99.66 90.00°
Fractional coordinates of all 10 atoms:
Nd: 0.053 0.250 0.110
Nd: 0.264 0.750 0.528
Nd: 0.736 0.250 0.472
Nd: 0.947 0.750 0.890
Sm: 0.366 0.250 0.730
Sm: 0.634 0.750 0.270
Zn: 0.169 0.250 0.334
Zn: 0.476 0.250 0.952
Zn: 0.524 0.750 0.048
Zn: 0.831 0.750 0.666

Its total magnetic moment is 0.00 μB/atom. Its volume is 274.5 Å³/cell. Its formation energy is -14.7 kJ per mole of atoms. The value obtained for the energy above the lowest structure with this stoichiometry is 8.27 kJ/mol of atoms. The crystal system is monoclinic. For the total energy, the calculation gives -3.512 eV/atom.

***

TbErHg | GGA-PBE | optimized geometry

Cell: 5.217 5.217 6.958 Å, 90.00 90.00 120.14°
Fractional coordinates of all 6 atoms:
Tb: 0.000 0.000 0.000
Tb: 0.000 0.000 0.500
Er: 0.333 0.667 0.750
Er: 0.667 0.333 0.250
Hg: 0.334 0.666 0.250
Hg: 0.666 0.334 0.750

Its total magnetic moment is 0.00 μB/atom. Its volume is 163.8 Å³/cell. Its formation energy is -29.2 kJ per mole of atoms. The value obtained for the energy above the lowest structure with this stoichiometry is 5.83 kJ/mol of atoms. The crystal system is orthorhombic. For the total energy, the calculation gives -3.467 eV/atom.

***

PmInSnBi | GGA-PBE | optimized geometry

Cell: 5.526 5.526 5.526 Å, 60.00 60.00 60.00°
Fractional coordinates of all 4 atoms:
Pm: 0.000 0.000 0.000
In: 0.500 0.500 0.500
Sn: 0.250 0.250 0.250
Bi: 0.750 0.750 0.750

Its total magnetic moment is 0.00 μB/atom. Its volume is 119.3 Å³/cell. Its formation energy is -19.7 kJ per mole of atoms. The crystal system is cubic. For the total energy, the calculation gives -4.048 eV/atom.

***

ReGe2PtI | GGA-PBE | optimized geometry

Cell: 4.897 4.897 5.015 Å, 90.00 90.00 90.00°
Fractional coordinates of all 5 atoms:
Re: 0.000 0.000 0.000
Ge: 0.000 0.500 0.000
Ge: 0.500 0.000 0.000
Pt: 0.000 0.000 0.500
I: 0.500 0.500 0.500

Its total magnetic moment is 0.00 μB/atom. Its volume is 120.3 Å³/cell. For the energy relative to the elements, uncorrected, the calculation gives 14.99 kcal/mol of atoms. The crystal system is tetragonal. For the total energy, the calculation gives -5.205 eV/atom.

***

KCdOs2 | GGA-PBE | optimized geometry

Cell: 2.771 2.771 10.641 Å, 90.00 90.00 116.89°
Fractional coordinates of all 4 atoms:
K: 0.000 0.000 0.000
Cd: 0.000 0.000 0.500
Os: 0.500 0.500 0.272
Os: 0.500 0.500 0.728

Its total magnetic moment is 0.00 μB/atom. Its volume is 72.9 Å³/cell. Its formation energy is 100.7 kJ per mole of atoms. The crystal system is orthorhombic. For the total energy, the calculation gives -5.074 eV/atom.

***

YHoS2 | GGA-PBE | optimized geometry

Cell: 6.739 6.739 6.739 Å, 33.70 33.70 33.70°
Fractional coordinates of all 4 atoms:
Y: 0.000 0.000 0.000
Ho: 0.500 0.500 0.500
S: 0.249 0.249 0.249
S: 0.751 0.751 0.751

Its total magnetic moment is 0.00 μB/atom. Its volume is 84.0 Å³/cell. For the energy relative to the elements, uncorrected, the calculation gives -45.82 kcal/mol of atoms. The value obtained for the energy above the lowest structure with this stoichiometry is 0.00 kJ/mol of atoms. The crystal system is trigonal. For the total energy, the calculation gives -6.811 eV/atom.